(1)
VASP calculation (PBE-GGA) on a relaxed SrBe2NbGa crystal.

a = 4.6945 Å, b = 4.6945 Å, c = 5.5035 Å
α = 90.00°, β = 90.00°, γ = 90.00°
Element x y z (fractional)
1 Sr 0.0000 0.0000 0.0000
2 Be 0.0000 0.5000 0.5000
3 Be 0.5000 0.0000 0.5000
4 Nb 0.0000 0.0000 0.5000
5 Ga 0.5000 0.5000 0.0000

SG ... P4/mmm
E_form ... 1300 meV per atom
Size of the total moment ... 0.0 Bohr magnetons per cell

(2)
VASP calculation (PBE-GGA) on a relaxed BeNbGa2Tc crystal.

a = 5.0372 Å, b = 5.0372 Å, c = 4.7055 Å
α = 90.00°, β = 90.00°, γ = 90.00°
Element x y z (fractional)
1 Be 0.0000 0.0000 0.0000
2 Nb 0.5000 0.5000 0.5000
3 Ga 0.0000 0.5000 0.5000
4 Ga 0.5000 0.0000 0.5000
5 Tc 0.5000 0.5000 0.0000

SG ... P4/mmm
E_form ... 1431 meV per atom
Size of the total moment ... 1.4 Bohr magnetons per cell

(3)
VASP calculation (PBE-GGA) on a relaxed Be2NbGaW crystal.

a = 4.0492 Å, b = 4.0492 Å, c = 4.8134 Å
α = 90.00°, β = 90.00°, γ = 90.00°
Element x y z (fractional)
1 Be 0.0000 0.5000 0.0000
2 Be 0.5000 0.0000 0.0000
3 Nb 0.0000 0.0000 0.5000
4 Ga 0.0000 0.0000 0.0000
5 W 0.5000 0.5000 0.5000

SG ... P4/mmm
E_form ... 1162 meV per atom
Size of the total moment ... 0.4 Bohr magnetons per cell

(4)
VASP calculation (PBE-GGA) on a relaxed NdBe2Ga2 crystal.

a = 4.0447 Å, b = 4.0447 Å, c = 9.9417 Å
α = 90.00°, β = 90.00°, γ = 90.00°
Element x y z (fractional)
1 Nd 0.2500 0.2500 0.2451
2 Nd 0.7500 0.7500 0.7549
3 Be 0.2500 0.2500 0.6368
4 Be 0.2500 0.7500 0.0000
5 Be 0.7500 0.2500 0.0000
6 Be 0.7500 0.7500 0.3632
7 Ga 0.2500 0.2500 0.8734
8 Ga 0.2500 0.7500 0.5000
9 Ga 0.7500 0.2500 0.5000
10 Ga 0.7500 0.7500 0.1266

SG ... P4/nmm
E_form ... -374 meV per atom
Size of the total moment ... 0.0 Bohr magnetons per cell

(5)
VASP calculation (PBE-GGA) on a relaxed NdBeGa crystal.

a = 4.2626 Å, b = 4.2626 Å, c = 7.7383 Å
α = 90.00°, β = 90.00°, γ = 120.00°
Element x y z (fractional)
1 Nd 0.0000 0.0000 0.0000
2 Nd 0.0000 0.0000 0.5000
3 Be 0.3333 0.6667 0.2500
4 Be 0.6667 0.3333 0.7500
5 Ga 0.3333 0.6667 0.7500
6 Ga 0.6667 0.3333 0.2500

SG ... P6_3/mmc
E_form ... -336 meV per atom
Size of the total moment ... 0.0 Bohr magnetons per cell

(6)
VASP calculation (PBE-GGA) on a relaxed NdBeGa crystal.

a = 4.2690 Å, b = 4.2690 Å, c = 3.8519 Å
α = 90.00°, β = 90.00°, γ = 120.00°
Element x y z (fractional)
1 Nd 0.0000 0.0000 0.0000
2 Be 0.3333 0.6667 0.5000
3 Ga 0.6667 0.3333 0.5000

SG ... P-6m2
E_form ... -326 meV per atom
Size of the total moment ... 0.0 Bohr magnetons per cell

(7)
VASP calculation (PBE-GGA) on a relaxed Nd2BeGaNi6 crystal.

a = 6.0860 Å, b = 6.0860 Å, c = 6.0860 Å
α = 60.00°, β = 60.00°, γ = 60.00°
Element x y z (fractional)
1 Nd 0.2500 0.2500 0.2500
2 Nd 0.7500 0.7500 0.7500
3 Be 0.0000 0.0000 0.0000
4 Ga 0.5000 0.5000 0.5000
5 Ni 0.2321 0.2321 0.7679
6 Ni 0.2321 0.7679 0.2321
7 Ni 0.2321 0.7679 0.7679
8 Ni 0.7679 0.2321 0.2321
9 Ni 0.7679 0.2321 0.7679
10 Ni 0.7679 0.7679 0.2321

SG ... Fm-3m
E_form ... -128 meV per atom
Size of the total moment ... 0.0 Bohr magnetons per cell

(8)
VASP calculation (PBE-GGA) on a relaxed Nd3Be2GaPd9 crystal.

a = 5.9313 Å, b = 5.9313 Å, c = 9.1131 Å
α = 90.00°, β = 90.00°, γ = 120.00°
Element x y z (fractional)
1 Nd 0.0000 0.0000 0.0000
2 Nd 0.3333 0.6667 0.6607
3 Nd 0.6667 0.3333 0.3393
4 Be 0.3333 0.6667 0.1513
5 Be 0.6667 0.3333 0.8487
6 Ga 0.0000 0.0000 0.5000
7 Pd 0.0000 0.5000 0.0000
8 Pd 0.1635 0.3269 0.2941
9 Pd 0.1635 0.8365 0.2941
10 Pd 0.3269 0.1635 0.7059
11 Pd 0.5000 0.0000 0.0000
12 Pd 0.5000 0.5000 0.0000
13 Pd 0.6731 0.8365 0.2941
14 Pd 0.8365 0.1635 0.7059
15 Pd 0.8365 0.6731 0.7059

SG ... P-3m1
E_form ... -663 meV per atom
Size of the total moment ... 0.0 Bohr magnetons per cell

(9)
VASP calculation (PBE-GGA) on a relaxed NdBe2GaPd2 crystal.

a = 4.2028 Å, b = 4.2028 Å, c = 5.7199 Å
α = 90.00°, β = 90.00°, γ = 90.00°
Element x y z (fractional)
1 Nd 0.0000 0.0000 0.0000
2 Be 0.0000 0.5000 0.5000
3 Be 0.5000 0.0000 0.5000
4 Ga 0.0000 0.0000 0.5000
5 Pd 0.5000 0.5000 0.2543
6 Pd 0.5000 0.5000 0.7457

SG ... P4/mmm
E_form ... -196 meV per atom
Size of the total moment ... 0.0 Bohr magnetons per cell

(10)
VASP calculation (PBE-GGA) on a relaxed NdBeGa2Pd4 crystal.

a = 8.8505 Å, b = 8.8505 Å, c = 8.8505 Å
α = 28.00°, β = 28.00°, γ = 28.00°
Element x y z (fractional)
1 Nd 0.0000 0.0000 0.0000
2 Be 0.5000 0.5000 0.5000
3 Ga 0.2399 0.2399 0.2399
4 Ga 0.7601 0.7601 0.7601
5 Pd 0.1367 0.1367 0.1367
6 Pd 0.4084 0.4084 0.4084
7 Pd 0.5916 0.5916 0.5916
8 Pd 0.8633 0.8633 0.8633

SG ... R-3m
E_form ... -684 meV per atom
Size of the total moment ... 0.0 Bohr magnetons per cell

(11)
VASP calculation (PBE-GGA) on a relaxed PrNdBeGa crystal.

a = 5.1467 Å, b = 5.1467 Å, c = 5.1467 Å
α = 60.00°, β = 60.00°, γ = 60.00°
Element x y z (fractional)
1 Pr 0.0000 0.0000 0.0000
2 Nd 0.5000 0.5000 0.5000
3 Be 0.7500 0.7500 0.7500
4 Ga 0.2500 0.2500 0.2500

SG ... F-43m
E_form ... -149 meV per atom
Size of the total moment ... 0.0 Bohr magnetons per cell

(12)
VASP calculation (PBE-GGA) on a relaxed NdBeGa2Pt4 crystal.

a = 8.9080 Å, b = 8.9080 Å, c = 8.9080 Å
α = 27.81°, β = 27.81°, γ = 27.81°
Element x y z (fractional)
1 Nd 0.0000 0.0000 0.0000
2 Be 0.5000 0.5000 0.5000
3 Ga 0.2421 0.2421 0.2421
4 Ga 0.7579 0.7579 0.7579
5 Pt 0.1379 0.1379 0.1379
6 Pt 0.4087 0.4087 0.4087
7 Pt 0.5913 0.5913 0.5913
8 Pt 0.8621 0.8621 0.8621

SG ... R-3m
E_form ... -836 meV per atom
Size of the total moment ... 0.0 Bohr magnetons per cell

(13)
VASP calculation (PBE-GGA) on a relaxed NdBeGaPt3 crystal.

a = 6.8495 Å, b = 6.8495 Å, c = 5.6761 Å
α = 90.00°, β = 90.00°, γ = 125.51°
Element x y z (fractional)
1 Nd 0.2257 0.7743 0.7500
2 Nd 0.7743 0.2257 0.2500
3 Be 0.4811 0.5189 0.7500
4 Be 0.5189 0.4811 0.2500
5 Ga 0.1308 0.8692 0.2500
6 Ga 0.8692 0.1308 0.7500
7 Pt 0.2274 0.2274 0.0000
8 Pt 0.2274 0.2274 0.5000
9 Pt 0.3301 0.6699 0.2500
10 Pt 0.6699 0.3301 0.7500
11 Pt 0.7726 0.7726 0.0000
12 Pt 0.7726 0.7726 0.5000

SG ... Cmcm
E_form ... -771 meV per atom
Size of the total moment ... 0.0 Bohr magnetons per cell

(14)
VASP calculation (PBE-GGA) on a relaxed Nd2BeGa4Pt3 crystal.

a = 4.2256 Å, b = 4.2256 Å, c = 10.6289 Å
α = 90.00°, β = 90.00°, γ = 90.00°
Element x y z (fractional)
1 Nd 0.0000 0.5000 0.2459
2 Nd 0.5000 0.0000 0.7541
3 Be 0.5000 0.5000 0.0000
4 Ga 0.0000 0.0000 0.5000
5 Ga 0.0000 0.5000 0.8736
6 Ga 0.5000 0.0000 0.1264
7 Ga 0.5000 0.5000 0.5000
8 Pt 0.0000 0.0000 0.0000
9 Pt 0.0000 0.5000 0.6366
10 Pt 0.5000 0.0000 0.3634

SG ... P-4m2
E_form ... -807 meV per atom
Size of the total moment ... 0.0 Bohr magnetons per cell

(15)
VASP calculation (PBE-GGA) on a relaxed Nd2Be4GaPt3 crystal.

a = 4.0577 Å, b = 4.0577 Å, c = 9.8532 Å
α = 90.00°, β = 90.00°, γ = 90.00°
Element x y z (fractional)
1 Nd 0.0000 0.5000 0.2485
2 Nd 0.5000 0.0000 0.7515
3 Be 0.0000 0.0000 0.0000
4 Be 0.0000 0.5000 0.6342
5 Be 0.5000 0.0000 0.3658
6 Be 0.5000 0.5000 0.0000
7 Ga 0.0000 0.0000 0.5000
8 Pt 0.0000 0.5000 0.8826
9 Pt 0.5000 0.0000 0.1174
10 Pt 0.5000 0.5000 0.5000

SG ... P-4m2
E_form ... -707 meV per atom
Size of the total moment ... 0.0 Bohr magnetons per cell

(16)
VASP calculation (PBE-GGA) on a relaxed Nd2BeGa3Pt4 crystal.

a = 4.1771 Å, b = 4.1771 Å, c = 10.6790 Å
α = 90.00°, β = 90.00°, γ = 90.00°
Element x y z (fractional)
1 Nd 0.0000 0.5000 0.2414
2 Nd 0.5000 0.0000 0.7586
3 Be 0.5000 0.5000 0.0000
4 Ga 0.0000 0.0000 0.0000
5 Ga 0.0000 0.5000 0.6380
6 Ga 0.5000 0.0000 0.3620
7 Pt 0.0000 0.0000 0.5000
8 Pt 0.0000 0.5000 0.8747
9 Pt 0.5000 0.0000 0.1253
10 Pt 0.5000 0.5000 0.5000

SG ... P-4m2
E_form ... -897 meV per atom
Size of the total moment ... 0.0 Bohr magnetons per cell

(17)
VASP calculation (PBE-GGA) on a relaxed Nd3BeGa2Rh3 crystal.

a = 7.3489 Å, b = 7.3489 Å, c = 3.7835 Å
α = 90.00°, β = 90.00°, γ = 120.00°
Element x y z (fractional)
1 Nd 0.0000 0.6228 0.0000
2 Nd 0.3772 0.3772 0.0000
3 Nd 0.6228 0.0000 0.0000
4 Be 0.0000 0.0000 0.0000
5 Ga 0.3333 0.6667 0.5000
6 Ga 0.6667 0.3333 0.5000
7 Rh 0.0000 0.2246 0.5000
8 Rh 0.2246 0.0000 0.5000
9 Rh 0.7754 0.7754 0.5000

SG ... P-62m
E_form ... -588 meV per atom
Size of the total moment ... 0.0 Bohr magnetons per cell

(18)
VASP calculation (PBE-GGA) on a relaxed NdBeGa2Rh2 crystal.

a = 4.2444 Å, b = 4.2444 Å, c = 5.6817 Å
α = 90.00°, β = 90.00°, γ = 90.00°
Element x y z (fractional)
1 Nd 0.0000 0.0000 0.0000
2 Be 0.0000 0.0000 0.5000
3 Ga 0.5000 0.5000 0.2326
4 Ga 0.5000 0.5000 0.7674
5 Rh 0.0000 0.5000 0.5000
6 Rh 0.5000 0.0000 0.5000

SG ... P4/mmm
E_form ... -651 meV per atom
Size of the total moment ... 0.0 Bohr magnetons per cell

(19)
VASP calculation (PBE-GGA) on a relaxed NdBeGa2Ru2 crystal.

a = 4.3174 Å, b = 4.3174 Å, c = 5.4905 Å
α = 90.00°, β = 90.00°, γ = 90.00°
Element x y z (fractional)
1 Nd 0.0000 0.0000 0.0000
2 Be 0.0000 0.0000 0.5000
3 Ga 0.5000 0.5000 0.2415
4 Ga 0.5000 0.5000 0.7585
5 Ru 0.0000 0.5000 0.5000
6 Ru 0.5000 0.0000 0.5000

SG ... P4/mmm
E_form ... -453 meV per atom
Size of the total moment ... 0.0 Bohr magnetons per cell

(20)
VASP calculation (PBE-GGA) on a relaxed NdScBeGa crystal.

a = 4.8900 Å, b = 4.8900 Å, c = 4.8900 Å
α = 60.00°, β = 60.00°, γ = 60.00°
Element x y z (fractional)
1 Nd 0.0000 0.0000 0.0000
2 Sc 0.5000 0.5000 0.5000
3 Be 0.7500 0.7500 0.7500
4 Ga 0.2500 0.2500 0.2500

SG ... F-43m
E_form ... -208 meV per atom
Size of the total moment ... 0.0 Bohr magnetons per cell

(21)
VASP calculation (PBE-GGA) on a relaxed Nd2Be4GaSi3 crystal.

a = 4.0112 Å, b = 4.0112 Å, c = 9.6690 Å
α = 90.00°, β = 90.00°, γ = 90.00°
Element x y z (fractional)
1 Nd 0.0000 0.5000 0.2461
2 Nd 0.5000 0.0000 0.7539
3 Be 0.0000 0.0000 0.0000
4 Be 0.0000 0.5000 0.6346
5 Be 0.5000 0.0000 0.3654
6 Be 0.5000 0.5000 0.0000
7 Ga 0.0000 0.0000 0.5000
8 Si 0.0000 0.5000 0.8730
9 Si 0.5000 0.0000 0.1270
10 Si 0.5000 0.5000 0.5000

SG ... P-4m2
Size of the total moment ... 0.0 Bohr magnetons per cell
Formation energy (no corrections) ... -0.381 eV/atom

(22)
VASP calculation (PBE-GGA) on a relaxed BeGaNi3 crystal.

a = 4.2665 Å, b = 4.2665 Å, c = 4.2665 Å
α = 90.00°, β = 90.00°, γ = 90.00°
Element x y z (fractional)
1 Be 0.0000 0.0000 0.0000
2 Ga 0.5000 0.5000 0.5000
3 Ni 0.0000 0.5000 0.5000
4 Ni 0.5000 0.0000 0.5000
5 Ni 0.5000 0.5000 0.0000

SG ... Pm-3m
E_form ... 904 meV per atom
Size of the total moment ... 0.0 Bohr magnetons per cell

(23)
VASP calculation (PBE-GGA) on a relaxed BeGa2Ni crystal.

a = 3.7498 Å, b = 3.7498 Å, c = 3.5375 Å
α = 90.00°, β = 90.00°, γ = 90.00°
Element x y z (fractional)
1 Be 0.0000 0.0000 0.0000
2 Ga 0.0000 0.5000 0.5000
3 Ga 0.5000 0.0000 0.5000
4 Ni 0.5000 0.5000 0.0000

SG ... P4/mmm
E_form ... -44 meV per atom
Size of the total moment ... 0.0 Bohr magnetons per cell

(24)
VASP calculation (PBE-GGA) on a relaxed BeGaNi6 crystal.

a = 3.5353 Å, b = 3.5353 Å, c = 6.9150 Å
α = 90.00°, β = 90.00°, γ = 90.00°
Element x y z (fractional)
1 Be 0.0000 0.0000 0.0000
2 Ga 0.0000 0.0000 0.5000
3 Ni 0.0000 0.5000 0.2361
4 Ni 0.0000 0.5000 0.7639
5 Ni 0.5000 0.0000 0.2361
6 Ni 0.5000 0.0000 0.7639
7 Ni 0.5000 0.5000 0.0000
8 Ni 0.5000 0.5000 0.5000

SG ... P4/mmm
E_form ... -220 meV per atom
Size of the total moment ... 2.0 Bohr magnetons per cell

(25)
VASP calculation (PBE-GGA) on a relaxed BeGa2Ni crystal.

a = 6.1579 Å, b = 6.1579 Å, c = 6.1579 Å
α = 38.89°, β = 38.89°, γ = 38.89°
Element x y z (fractional)
1 Be 0.0000 0.0000 0.0000
2 Ga 0.1320 0.1320 0.1320
3 Ga 0.8680 0.8680 0.8680
4 Ni 0.5000 0.5000 0.5000

SG ... R-3m
E_form ... 548 meV per atom
Size of the total moment ... 0.0 Bohr magnetons per cell